# PBE Zn2Ag2Pb, optimized geometry
data_Zn2Ag2Pb
_cell_length_a 4.171
_cell_length_b 4.171
_cell_length_c 11.831
_cell_angle_alpha 90.00
_cell_angle_beta 90.00
_cell_angle_gamma 90.00
_symmetry_space_group_name_H-M 'I 4/m m m'
_symmetry_Int_Tables_number 139
_symmetry_space_group_name_Hall '-I 4 2'
loop_
_atom_site_label
_atom_site_type_symbol
_atom_site_fract_x
_atom_site_fract_y
_atom_site_fract_z
Zn1 Zn 0.000 0.000 0.104
Ag1 Ag 0.000 0.500 0.250
Pb1 Pb 0.000 0.000 0.500
# Energy of formation in meV/atom: 96
# Total magnetization in μB per cell: 0.00
# Crystal system: tetragonal
# Relative energy among the computed polymorphs in eV per atom: 0.040